1.
Na3PrV4O12, relaxed, DFT GGA+U; space group = R32, No. 155; total moment = 2.00 Bohr magnetons per cell
1.0
5.717 3.300 2.806
-5.717 3.300 2.806
0.000 -6.601 2.806
Na Pr V O
3 1 4 12
direct
0.000 0.547 0.453
0.453 0.000 0.547
0.547 0.453 0.000
0.000 0.000 0.000
0.045 0.500 0.955
0.500 0.500 0.500
0.500 0.955 0.045
0.955 0.045 0.500
0.026 0.666 0.814
0.099 0.901 0.500
0.186 0.334 0.974
0.334 0.974 0.186
0.353 0.647 0.500
0.500 0.099 0.901
0.500 0.353 0.647
0.647 0.500 0.353
0.666 0.814 0.026
0.814 0.026 0.666
0.901 0.500 0.099
0.974 0.186 0.334



2.
NaPrV2O8, relaxed, DFT GGA+U; space group = P-3m1, No. 164; total moment = 2.02 Bohr magnetons per cell
1.0
5.944 0.000 0.000
-2.972 5.147 0.000
0.000 0.000 6.977
Na Pr V O
1 1 2 8
direct
0.000 0.000 0.000
0.000 0.000 0.500
0.333 0.667 0.193
0.667 0.333 0.807
0.172 0.344 0.273
0.172 0.828 0.273
0.333 0.667 0.947
0.344 0.172 0.727
0.656 0.828 0.273
0.667 0.333 0.053
0.828 0.172 0.727
0.828 0.656 0.727



3.
Na3Pr3VO8, relaxed, DFT GGA+U; space group = C2/m, No. 12; total moment = 1.00 Bohr magnetons per cell
1.0
5.902 -3.502 0.000
5.902 3.502 0.000
-3.902 0.000 5.692
Na Pr V O
3 3 1 8
direct
0.000 0.000 0.000
0.000 0.500 0.500
0.500 0.000 0.500
0.000 0.500 0.000
0.500 0.000 0.000
0.500 0.500 0.500
0.000 0.000 0.500
0.203 0.203 0.715
0.210 0.777 0.290
0.223 0.790 0.710
0.258 0.258 0.238
0.742 0.742 0.762
0.777 0.210 0.290
0.790 0.223 0.710
0.797 0.797 0.285



4.
NaPrZrVO6, relaxed, DFT GGA+U; space group = F-43m, No. 216; total moment = 1.00 Bohr magnetons per cell
1.0
0.000 3.999 3.999
3.999 0.000 3.999
3.999 3.999 0.000
Na Pr Zr V O
1 1 1 1 6
direct
0.000 0.000 0.000
0.500 0.500 0.500
0.250 0.250 0.250
0.750 0.750 0.750
0.509 0.509 0.991
0.509 0.991 0.509
0.509 0.991 0.991
0.991 0.509 0.509
0.991 0.509 0.991
0.991 0.991 0.509



5.
NaPrW2O8, relaxed, DFT GGA+U; space group = I-4m2, No. 119; total moment = 0.00 Bohr magnetons per cell
1.0
-3.808 3.808 3.398
3.808 -3.808 3.398
3.808 3.808 -3.398
Na Pr W O
1 1 2 8
direct
0.000 0.000 0.000
0.250 0.750 0.500
0.500 0.500 0.000
0.750 0.250 0.500
0.343 0.151 0.808
0.343 0.535 0.192
0.395 0.078 0.317
0.465 0.657 0.808
0.762 0.078 0.683
0.849 0.657 0.192
0.922 0.238 0.317
0.922 0.605 0.683



no.,calculated total energy (eV per atom)
1,-6.6409
2,-6.9155
3,-6.7987
4,-7.7748
5,-7.3237